Entry 1:
{
  "formula": "TcSnMo",
  "functional": "PBE",
  "state": "optimized geometry",
  "relative_energy_mev_per_atom": 1.1,
  "e_form_kj_per_mol_fu": 32,
  "dos_at_fermi_per_ev_cell": 1.99,
  "total_magnetization_mub_per_fu": 0.000,
  "cell": [[-1.583, 1.583, 5.014], [1.583, -1.583, 5.014], [1.583, 1.583, -5.014]],
  "species": ["Tc", "Sn", "Mo"],
  "fractional_positions": [[0.000, 0.000, 0.000], [0.330, 0.330, 0.000], [0.650, 0.650, 0.000]]
}

***

Entry 2:
{
  "formula": "TcSnMo",
  "functional": "PBE",
  "state": "optimized geometry",
  "relative_energy_mev_per_atom": 40.7,
  "e_form_kj_per_mol_fu": 44,
  "dos_at_fermi_per_ev_cell": 4.67,
  "total_magnetization_mub_per_fu": 0.000,
  "cell": [[5.615, -1.511, 0.000], [5.615, 1.511, 0.000], [-1.671, 0.000, 6.099]],
  "species": ["Tc", "Tc", "Sn", "Sn", "Mo", "Mo"],
  "fractional_positions": [[0.000, 0.000, 0.000], [0.665, 0.665, 0.293], [0.334, 0.334, 0.629], [0.613, 0.613, 0.718], [0.282, 0.282, 0.052], [0.952, 0.952, 0.348]]
}